# 1
{
  "formula": "BaZrCr2",
  "functional": "meta-GGA SCAN",
  "state": "PBEsol geometry",
  "cell": [[4.977, 0.000, 0.000], [2.489, 4.310, 0.000], [2.489, 1.437, 4.064]],
  "species": ["Cr", "Cr", "Zr", "Ba"],
  "frac_coords": [[0.750, 0.750, 0.750], [0.250, 0.250, 0.250], [0.500, 0.500, 0.500], [0.000, 0.000, 0.000]],
  "de_polymorph_mev_per_atom": 60,
  "dft_energy_ev_per_atom": -25.9686,
  "formation_energy_ev_per_atom": 0.786,
  "n_ef_per_ev_cell": 3.257,
  "total_magnetization_mub_per_cell": 6.5
}

# 2
{
  "formula": "LiZnCu2",
  "functional": "meta-GGA SCAN",
  "state": "PBEsol geometry",
  "cell": [[2.932, 0.000, 0.000], [0.000, 4.046, 0.000], [0.000, 0.000, 4.046]],
  "species": ["Cu", "Cu", "Zn", "Li"],
  "frac_coords": [[0.000, 0.000, 0.500], [0.000, 0.500, 0.000], [0.500, 0.000, 0.000], [0.500, 0.500, 0.500]],
  "dft_energy_ev_per_atom": -11.6531,
  "formation_energy_ev_per_atom": -0.077,
  "n_ef_per_ev_cell": 0.971,
  "total_magnetization_mub_per_cell": 0.0
}

# 3
{
  "formula": "LiCd2Ag",
  "functional": "meta-GGA SCAN",
  "state": "PBEsol geometry",
  "cell": [[-0.895, 2.584, 3.747], [-2.225, -4.024, -0.628], [4.514, 0.011, 1.071]],
  "species": ["Cd", "Cd", "Li", "Ag"],
  "frac_coords": [[0.250, 0.500, 0.750], [0.750, 0.500, 0.250], [0.000, 0.000, 0.000], [0.500, 0.000, 0.500]],
  "de_polymorph_mev_per_atom": 0,
  "dft_energy_ev_per_atom": -23.8673,
  "formation_energy_ev_per_atom": -0.221,
  "n_ef_per_ev_cell": 0.962,
  "total_magnetization_mub_per_cell": 0.0
}

# 4
{
  "formula": "CdFe2Cl",
  "functional": "meta-GGA SCAN",
  "state": "PBEsol geometry",
  "cell": [[2.893, 0.000, 0.000], [1.447, 2.506, 0.000], [1.447, 0.835, 8.103]],
  "species": ["Cd", "Fe", "Fe", "Cl"],
  "frac_coords": [[0.500, 0.500, 0.500], [0.742, 0.742, 0.775], [0.258, 0.258, 0.225], [0.000, 0.000, 0.000]],
  "de_polymorph_mev_per_atom": 0,
  "dft_energy_ev_per_atom": -18.4625,
  "n_ef_per_ev_cell": 2.439,
  "total_magnetization_mub_per_cell": 5.8,
  "e_form_raw_ev_per_atom": 0.2004
}